Crystalline Ac2RuO7 at its relaxed geometry. Source: Alexandria via LeMat-Bulk, functional PBE.

Magnetic moment = 4.09 μB/cell
Final energy = -7.1856 eV per atom
SG = P-1

a b c (Å): 6.9396 7.0081 7.5652
angles (deg): 100.29 104.62 118.84
Closest atoms and distances in Å follow each position.
Sites, in units of the cell vectors:
Ac 0.1189 0.3036 0.4598  8 O 2.51-2.72
Ac 0.3425 0.8378 0.2251  7 O 2.53-2.83
Ac 0.6575 0.1622 0.7749  7 O 2.53-2.83
Ac 0.8811 0.6964 0.5402  8 O 2.51-2.72
Ru 0.2137 0.2617 0.0320  4 O 1.77-1.97
Ru 0.7863 0.7383 0.9680  4 O 1.77-1.97
O 0.0139 0.3532 0.1160  1 Ru 1.97
O 0.1030 0.0336 0.1712  2 Ru 2.02-2.06
O 0.1906 0.3759 0.8427  1 Ru 1.77
O 0.2512 0.0280 0.5334  1 O 2.17
O 0.2662 0.7244 0.5291  1 O 2.17
O 0.3938 0.1486 0.9840  1 Ru 1.85
O 0.4495 0.4882 0.2673  1 Ru 1.84
O 0.5505 0.5118 0.7327  1 Ru 1.84
O 0.6062 0.8514 0.0160  1 Ru 1.85
O 0.7338 0.2756 0.4709  1 O 2.17
O 0.7488 0.9720 0.4666  1 O 2.17
O 0.8094 0.6241 0.1573  1 Ru 1.77
O 0.8970 0.9664 0.8288  2 Ru 2.02-2.06
O 0.9861 0.6468 0.8840  1 Ru 1.97